Here is a relaxed structure of TaBeTl2 from Alexandria via LeMat-Bulk. Energies are from GGA-PBE.

The structure in POSCAR format:
```
TaBeTl2
1.0
-1.859 -3.127 4.106
-1.168 -5.225 -1.197
4.209 3.425 -0.806
Be Tl Ta
1 2 1
Direct
0.250 0.750 0.500
0.000 0.000 0.000
0.500 0.500 0.000
0.750 0.250 0.500
```

Summary:
Space group   I4/mmm
Electronic total energy   -17.15 eV for the cell shown
ΔH_f (0 K)   0.79 eV per atom